Entry 1:
# VZn2Ir

A geometry-optimized VZn2Ir structure (PBE, the Alexandria database).

Properties
Distance to the lowest polymorph of the same formula ... 1.71 eV/f.u.
ΔE_f ... 0.374 eV per atom

Geometry as extended XYZ:
```
8
Lattice="-3.509 3.509 2.523 3.509 -3.509 2.523 3.509 3.509 -2.523" Properties=species:S:1:pos:R:3 pbc="T T T"
V 0.000 0.000 0.000
V 0.000 3.509 1.262
Zn 1.754 -1.698 1.893
Zn 1.811 1.754 0.631
Zn 1.754 5.206 -0.631
Zn 1.698 1.754 3.154
Ir 3.509 0.000 1.262
Ir 0.000 0.000 2.523
```

---

Entry 2:
# U5Cu

A geometry-optimized U5Cu structure (PBE, the Alexandria database).

Properties
ΔE_f ... 0.179 eV per atom

Geometry as extended XYZ:
```
6
Lattice="2.545 -7.706 0.000 2.545 7.706 0.000 0.000 0.000 2.983" Properties=species:S:1:pos:R:3 pbc="T T T"
U 0.000 0.000 0.000
U 2.545 5.274 1.492
U 2.545 2.641 0.000
U 2.545 -2.641 0.000
U 2.545 -5.274 1.492
Cu 2.545 0.000 1.492
```

---

Entry 3:
# RePd

A geometry-optimized RePd structure (PBE, the Alexandria database).

Properties
Distance to the lowest polymorph of the same formula ... 1.40 eV/f.u.
ΔE_f ... 0.765 eV per atom

Geometry as extended XYZ:
```
8
Lattice="0.000 3.795 4.829 3.622 0.000 4.829 3.622 3.795 0.000" Properties=species:S:1:pos:R:3 pbc="T T T"
Re 5.184 2.846 3.622
Re 6.995 4.743 6.036
Re 0.250 2.846 3.622
Re 2.061 4.743 6.036
Pd 2.717 1.568 3.622
Pd 4.528 3.465 6.036
Pd 2.717 4.124 3.622
Pd 4.528 6.022 6.036
```

---

Entry 4:
# ZrCr2As

A geometry-optimized ZrCr2As structure (PBE, the Alexandria database).

Properties
ΔE_f ... -0.023 eV per atom

Geometry as extended XYZ:
```
4
Lattice="4.174 0.000 0.000 0.000 4.174 0.000 0.000 0.000 3.486" Properties=species:S:1:pos:R:3 pbc="T T T"
Zr 0.000 0.000 0.000
Cr 0.000 2.087 1.743
Cr 2.087 0.000 1.743
As 2.087 2.087 0.000
```

---

Entry 5:
# SrBeCdPd2

A geometry-optimized SrBeCdPd2 structure (PBE, the Alexandria database).

Properties
ΔE_f ... -0.298 eV per atom

Geometry as extended XYZ:
```
5
Lattice="4.590 0.000 0.000 0.000 4.590 0.000 0.000 0.000 4.679" Properties=species:S:1:pos:R:3 pbc="T T T"
Sr 0.000 0.000 0.000
Be 2.295 2.295 2.340
Cd 2.295 2.295 0.000
Pd 0.000 2.295 2.340
Pd 2.295 0.000 2.340
```

---

Entry 6:
# Ca2Cu2Pd

A geometry-optimized Ca2Cu2Pd structure (PBE, the Alexandria database).

Properties
Distance to the lowest polymorph of the same formula ... 0.47 eV/f.u.
ΔE_f ... -0.261 eV per atom

Geometry as extended XYZ:
```
10
Lattice="7.086 0.000 0.000 0.000 7.086 0.000 0.000 0.000 4.106" Properties=species:S:1:pos:R:3 pbc="T T T"
Ca 1.299 2.245 0.000
Ca 2.245 5.788 0.000
Ca 4.842 1.299 0.000
Ca 5.788 4.842 0.000
Cu 0.859 4.402 2.053
Cu 2.684 0.859 2.053
Cu 4.402 6.227 2.053
Cu 6.227 2.684 2.053
Pd 0.000 0.000 2.053
Pd 3.543 3.543 2.053
```

---

Entry 7:
# Sr2CaCd10

A geometry-optimized Sr2CaCd10 structure (PBE, the Alexandria database).

Properties
ΔE_f ... -0.103 eV per atom

Geometry as extended XYZ:
```
26
Lattice="6.831 0.000 0.000 0.000 19.622 0.000 0.000 0.000 6.254" Properties=species:S:1:pos:R:3 pbc="T T T"
Sr 1.036 3.478 0.000
Sr 2.380 13.288 0.000
Sr 4.451 6.333 0.000
Sr 5.796 16.144 0.000
Ca 0.000 9.811 3.127
Ca 3.416 0.000 3.127
Cd 0.319 15.199 3.127
Cd 0.395 18.275 3.127
Cd 1.057 6.875 1.424
Cd 1.057 6.875 4.829
Cd 1.333 12.554 3.127
Cd 2.082 2.743 3.127
Cd 2.358 16.686 1.424
Cd 2.358 16.686 4.829
Cd 3.021 8.464 3.127
Cd 3.097 5.388 3.127
Cd 3.735 14.233 3.127
Cd 3.810 11.157 3.127
Cd 4.473 2.935 1.424
Cd 4.473 2.935 4.829
Cd 4.749 16.879 3.127
Cd 5.498 7.068 3.127
Cd 5.774 12.746 1.424
Cd 5.774 12.746 4.829
Cd 6.436 1.347 3.127
Cd 6.512 4.422 3.127
```

---

Entry 8:
# CaSbSe3

A geometry-optimized CaSbSe3 structure (PBE, the Alexandria database).

Properties
Distance to the lowest polymorph of the same formula ... 4.47 eV/f.u.

Geometry as extended XYZ:
```
5
Lattice="5.380 0.000 0.000 0.000 5.380 0.000 0.000 0.000 5.380" Properties=species:S:1:pos:R:3 pbc="T T T"
Ca 0.000 0.000 0.000
Sb 2.690 2.690 2.690
Se 0.000 0.000 2.690
Se 0.000 2.690 0.000
Se 2.690 0.000 0.000
```